(1)
# Ac3ErPb2

Crystalline Ac3ErPb2 at its relaxed geometry (GGA-PBE, Alexandria).

Cell lengths 8.8744, 8.8744, 21.9752 Å; angles 90.00, 90.00, 120.00 degrees
Space group R-3c (No. 167, hexagonal axes)
Unique sites:
Ac (0.0000, 0.2868, 0.2500) (multiplicity 18)
Er (0.0000, 0.0000, 0.0000) (multiplicity 6)
Pb (0.0000, 0.0000, 0.1443) (multiplicity 12)

Output
- N(E_F): 1.35 states/eV/atom
- Formation enthalpy at 0 K: -0.134 eV per atom
- Final energy: -25.11 eV per formula unit

***

(2)
# PmPrDy5Y2

Crystalline PmPrDy5Y2 at its relaxed geometry (GGA-PBE, Alexandria).

Cell lengths 5.6518, 19.8733, 10.6563 Å; angles 90.00, 90.00, 90.00 degrees
Space group Cmc2_1 (No. 36)
Unique sites:
Pm (0.0000, 0.2029, 0.0000) (multiplicity 4)
Pr (0.0000, 0.4174, 0.4403) (multiplicity 4)
Dy (0.0000, 0.0183, 0.0159) (multiplicity 4)
Dy (0.0000, 0.2824, 0.2981) (multiplicity 4)
Dy (0.0000, 0.2981, 0.6967) (multiplicity 4)
Dy (0.0000, 0.3918, 0.0123) (multiplicity 4)
Dy (0.0000, 0.4781, 0.7251) (multiplicity 4)
Y (0.0000, 0.1102, 0.7225) (multiplicity 4)
Y (0.0000, 0.1140, 0.3107) (multiplicity 4)

Output
- N(E_F): 1.60 states/eV/atom
- Formation enthalpy at 0 K: 0.155 eV per atom
- Final energy: -44.08 eV per formula unit